Record 1
A plane-wave DFT calculation with GGA-PBE was carried out for an optimized crystal structure of LaBe2Tl.

The structure belongs to space group P4mm (No. 99); the cell edges are 3.1964, 3.1964 and 7.5996 Å and the angles 90.00°, 90.00° and 90.00°. The asymmetric unit holds La at (0.0000, 0.0000, 0.0000), Be at (0.0000, 0.0000, 0.6080), Be at (0.5000, 0.5000, 0.7102) and Tl at (0.5000, 0.5000, 0.3544).

The value obtained for the energy of formation from the pure elements is 289 meV/atom. For the density of states at the Fermi level, the calculation gives 0.556 states/eV per atom. The polymorph energy (0 for the lowest one) is 225.3 meV/atom. The uncorrected energy comes out at -0.250 Ry/atom.

***

Record 2
A plane-wave DFT calculation with GGA-PBE was carried out for an optimized crystal structure of Be4AlCo5.

The structure belongs to space group P4/mmm (No. 123); the cell edges are 2.6605, 2.6605 and 13.1810 Å and the angles 90.00°, 90.00° and 90.00°. The asymmetric unit holds Be at (0.0000, 0.0000, 0.0964), Be at (0.0000, 0.0000, 0.2884), Al at (0.0000, 0.0000, 0.5000), Co at (0.5000, 0.5000, 0.0000), Co at (0.5000, 0.5000, 0.1922) and Co at (0.5000, 0.5000, 0.3841).

The value obtained for the energy of formation from the pure elements is -348 meV/atom. For the density of states at the Fermi level, the calculation gives 0.990 states/eV per atom. The uncorrected energy comes out at -0.424 Ry/atom.

***

Record 3
A plane-wave DFT calculation with GGA-PBE was carried out for an optimized crystal structure of HfBSb2I.

The structure belongs to space group P4/mmm (No. 123); the cell edges are 4.8454, 4.8454 and 4.8891 Å and the angles 90.00°, 90.00° and 90.00°. The asymmetric unit holds Hf at (0.0000, 0.0000, 0.0000), B at (0.5000, 0.5000, 0.5000), Sb at (0.0000, 0.5000, 0.5000) and I at (0.5000, 0.5000, 0.0000).

For the density of states at the Fermi level, the calculation gives 0.784 states/eV per atom. The polymorph energy (0 for the lowest one) is 0.0 meV/atom. The value obtained for the formation energy (no corrections) is 4.15 eV/f.u. The uncorrected energy comes out at -0.327 Ry/atom.

***

Record 4
A plane-wave DFT calculation with GGA-PBE was carried out for an optimized crystal structure of KRb2Tc2O7.

The structure belongs to space group I4/mmm (No. 139); the cell edges are 3.9376, 3.9376 and 22.4280 Å and the angles 90.00°, 90.00° and 90.00°. The asymmetric unit holds K at (0.0000, 0.0000, 0.0000), Rb at (0.0000, 0.0000, 0.1893), Tc at (0.0000, 0.0000, 0.4113), O at (0.0000, 0.0000, 0.3278), O at (0.0000, 0.0000, 0.5000) and O at (0.0000, 0.5000, 0.0875).

For the density of states at the Fermi level, the calculation gives 0.339 states/eV per atom. The value obtained for the formation energy (no corrections) is -18.61 eV/f.u. The uncorrected energy comes out at -0.472 Ry/atom.

***

Record 5
A plane-wave DFT calculation with GGA-PBE was carried out for an optimized crystal structure of CoWAu2.

The structure belongs to space group I4/mmm (No. 139); the cell edges are 3.8873, 3.8873 and 8.1654 Å and the angles 90.00°, 90.00° and 90.00°. The asymmetric unit holds Co at (0.0000, 0.0000, 0.0000), W at (0.0000, 0.0000, 0.5000) and Au at (0.0000, 0.5000, 0.2500).

The value obtained for the energy of formation from the pure elements is 480 meV/atom. For the density of states at the Fermi level, the calculation gives 1.054 states/eV per atom. The polymorph energy (0 for the lowest one) is 297.6 meV/atom. The uncorrected energy comes out at -0.454 Ry/atom.

***

Record 6
A plane-wave DFT calculation with GGA-PBE was carried out for an optimized crystal structure of SiOF.

The structure belongs to space group P3m1 (No. 156); the cell edges are 3.0631, 3.0631 and 4.8750 Å and the angles 90.00°, 90.00° and 120.00°. The asymmetric unit holds Si at (0.0000, 0.0000, 0.0000), O at (0.6667, 0.3333, 0.1417) and F at (0.3333, 0.6667, 0.7506).

For the density of states at the Fermi level, the calculation gives 0.349 states/eV per atom. The polymorph energy (0 for the lowest one) is 915.8 meV/atom. The value obtained for the formation energy (no corrections) is -4.70 eV/f.u. The uncorrected energy comes out at -0.415 Ry/atom.

***

Record 7
A plane-wave DFT calculation with GGA-PBE was carried out for an optimized crystal structure of Ce2Ho2Pt3.

The structure belongs to space group I2_13 (No. 199); the cell edges are 8.7823, 8.7823 and 8.7823 Å and the angles 90.00°, 90.00° and 90.00°. The asymmetric unit holds Ce at (0.1885, 0.1885, 0.1885), Ho at (0.0630, 0.4370, 0.5630) and Pt at (0.0000, 0.2500, 0.8663).

The value obtained for the energy of formation from the pure elements is -1027 meV/atom. For the density of states at the Fermi level, the calculation gives 1.914 states/eV per atom. The uncorrected energy comes out at -0.487 Ry/atom.

***

Record 8
A plane-wave DFT calculation with GGA-PBE was carried out for an optimized crystal structure of ScSn2GeTe.

The structure belongs to space group P4/mmm (No. 123); the cell edges are 5.5967, 5.5967 and 5.1838 Å and the angles 90.00°, 90.00° and 90.00°. The asymmetric unit holds Sc at (0.0000, 0.0000, 0.0000), Sn at (0.0000, 0.5000, 0.0000), Ge at (0.0000, 0.0000, 0.5000) and Te at (0.5000, 0.5000, 0.5000).

For the density of states at the Fermi level, the calculation gives 0.917 states/eV per atom. The value obtained for the formation energy (no corrections) is 1.96 eV/f.u. The uncorrected energy comes out at -0.296 Ry/atom.